Record 1
# ZrRhC3 (PBE, relaxed)
# Energy of formation in eV per atom: 1.662
# Polymorph energy (0 for the lowest one) in meV per atom: 0
# Calculated total energy in eV per cell: -35.3
data_ZrRhC3
_cell_length_a 3.951
_cell_length_b 3.951
_cell_length_c 3.951
_cell_angle_alpha 90.00
_cell_angle_beta 90.00
_cell_angle_gamma 90.00
_space_group_name_H-M_alt 'P m -3 m'
_space_group_IT_number 221
_space_group_name_Hall '-P 4 2 3'
loop_
_atom_site_label
_atom_site_fract_x
_atom_site_fract_y
_atom_site_fract_z
Zr1 0.000 0.000 0.000
Rh1 0.500 0.500 0.500
C1 0.000 0.500 0.500


Record 2
# ZrRhC2 (PBE, relaxed)
# Energy of formation in eV per atom: 0.669
# Polymorph energy (0 for the lowest one) in meV per atom: 356
# Calculated total energy in eV per cell: -126.7
data_ZrRhC2
_cell_length_a 5.639
_cell_length_b 5.639
_cell_length_c 5.639
_cell_angle_alpha 90.00
_cell_angle_beta 90.00
_cell_angle_gamma 90.00
_space_group_name_H-M_alt 'F m -3 m'
_space_group_IT_number 225
_space_group_name_Hall '-F 4 2 3'
loop_
_atom_site_label
_atom_site_fract_x
_atom_site_fract_y
_atom_site_fract_z
Zr1 0.000 0.000 0.000
Rh1 0.000 0.000 0.500
C1 0.250 0.250 0.250


Record 3
# ZrRhC2 (PBE, relaxed)
# Energy of formation in eV per atom: 0.313
# Polymorph energy (0 for the lowest one) in meV per atom: 0
# Calculated total energy in eV per cell: -132.4
data_ZrRhC2
_cell_length_a 4.681
_cell_length_b 4.681
_cell_length_c 10.302
_cell_angle_alpha 90.00
_cell_angle_beta 90.00
_cell_angle_gamma 90.00
_space_group_name_H-M_alt 'I -4 2 d'
_space_group_IT_number 122
_space_group_name_Hall 'I -4 2bw'
loop_
_atom_site_label
_atom_site_fract_x
_atom_site_fract_y
_atom_site_fract_z
Zr1 0.000 0.000 0.000
Rh1 0.000 0.000 0.500
C1 0.204 0.250 0.625


Record 4
# ZrRhC3 (PBE, relaxed)
# Energy of formation in eV per atom: 2.474
# Polymorph energy (0 for the lowest one) in meV per atom: 812
# Calculated total energy in eV per cell: -31.2
data_ZrRhC3
_cell_length_a 4.227
_cell_length_b 4.227
_cell_length_c 4.227
_cell_angle_alpha 90.00
_cell_angle_beta 90.00
_cell_angle_gamma 90.00
_space_group_name_H-M_alt 'P m -3 m'
_space_group_IT_number 221
_space_group_name_Hall '-P 4 2 3'
loop_
_atom_site_label
_atom_site_fract_x
_atom_site_fract_y
_atom_site_fract_z
Zr1 0.000 0.000 0.000
Rh1 0.500 0.500 0.500
C1 0.000 0.000 0.500